Record 1
Density functional theory data (PBE) for a geometry-optimized Hf2Al structure.

Computed properties:
* VASP energy: -4.900 eV/atom
* symmetry: Fd-3m, No. 227

Unit cell a=8.371 b=8.371 c=8.371 alpha=60.00 beta=60.00 gamma=60.00
Fractional positions:
Hf1 0.000 0.000 0.000
Hf2 0.000 0.000 0.500
Hf3 0.000 0.500 0.000
Hf4 0.500 0.000 0.000
Al1 0.125 0.125 0.125
Al2 0.875 0.875 0.875



Record 2
Density functional theory data (PBE) for a geometry-optimized CsTl2Hg2 structure.

Computed properties:
* VASP energy: -1.363 eV/atom
* symmetry: I4/mmm, No. 139

Unit cell a=7.683 b=7.683 c=7.683 alpha=141.82 beta=141.82 gamma=55.10
Fractional positions:
Cs1 0.000 0.000 0.000
Tl1 0.250 0.750 0.500
Tl2 0.750 0.250 0.500
Hg1 0.391 0.391 0.000
Hg2 0.609 0.609 0.000



Record 3
Density functional theory data (PBE) for a geometry-optimized Dy2TmLu4Ni2Te2 structure.

Computed properties:
* energy relative to the lowest polymorph listed for this composition: 3 meV per atom
* symmetry: Imm2, No. 44

Unit cell a=9.246 b=9.246 c=9.246 alpha=156.10 beta=67.07 gamma=118.38
Fractional positions:
Dy1 0.134 0.000 0.134
Dy2 0.866 0.000 0.866
Tm1 0.418 0.418 0.000
Lu1 0.110 0.795 0.315
Lu2 0.480 0.795 0.685
Lu3 0.500 0.147 0.353
Lu4 0.793 0.147 0.647
Ni1 0.252 0.487 0.765
Ni2 0.723 0.487 0.235
Te1 0.152 0.652 0.500
Te2 0.756 0.756 0.000



Record 4
Density functional theory data (PBE) for a geometry-optimized NaHoGeTe3 structure.

Computed properties:
* VASP energy: -4.056 eV/atom
* symmetry: Cmcm, No. 63

Unit cell a=7.707 b=7.707 c=11.655 alpha=90.00 beta=90.00 gamma=145.78
Fractional positions:
Na1 0.235 0.765 0.750
Na2 0.765 0.235 0.250
Ho1 0.000 0.000 0.000
Ho2 0.000 0.000 0.500
Ge1 0.477 0.523 0.250
Ge2 0.523 0.477 0.750
Te1 0.096 0.904 0.250
Te2 0.360 0.640 0.055
Te3 0.360 0.640 0.445
Te4 0.640 0.360 0.555
Te5 0.640 0.360 0.945
Te6 0.904 0.096 0.750